No. 1
{
  "formula": "P2PbW2",
  "functional": "GGA-PBE",
  "state": "relaxed",
  "e_above_lowest_polymorph_mev_per_atom": 255,
  "mass_density_g_cm3": 12.33,
  "lattice": [[7.576, 0.000, 0.000], [0.000, 7.576, 0.000], [0.000, 0.000, 2.987]],
  "species": ["P", "P", "P", "P", "Pb", "Pb", "W", "W", "W", "W"],
  "frac_coords": [[0.134, 0.366, 0.000], [0.366, 0.866, 0.000], [0.634, 0.134, 0.000], [0.866, 0.634, 0.000], [0.000, 0.000, 0.000], [0.500, 0.500, 0.000], [0.136, 0.636, 0.500], [0.364, 0.136, 0.500], [0.636, 0.864, 0.500], [0.864, 0.364, 0.500]]
}

***

No. 2
{
  "formula": "PPbW3",
  "functional": "GGA-PBE",
  "state": "relaxed",
  "e_above_lowest_polymorph_mev_per_atom": 0,
  "mass_density_g_cm3": 14.09,
  "lattice": [[4.532, 0.000, 0.000], [0.000, 4.532, 0.000], [0.000, 0.000, 4.532]],
  "species": ["P", "Pb", "W", "W", "W"],
  "frac_coords": [[0.000, 0.000, 0.000], [0.500, 0.500, 0.500], [0.000, 0.000, 0.500], [0.000, 0.500, 0.000], [0.500, 0.000, 0.000]]
}

***

No. 3
{
  "formula": "PPbW",
  "functional": "GGA-PBE",
  "state": "relaxed",
  "e_above_lowest_polymorph_mev_per_atom": 245,
  "mass_density_g_cm3": 11.63,
  "lattice": [[4.188, 0.000, 0.000], [-2.094, 3.627, 0.000], [0.000, 0.000, 3.967]],
  "species": ["P", "Pb", "W"],
  "frac_coords": [[0.000, 0.000, 0.000], [0.333, 0.667, 0.500], [0.667, 0.333, 0.000]]
}

***

No. 4
{
  "formula": "P2PbW2",
  "functional": "GGA-PBE",
  "state": "relaxed",
  "e_above_lowest_polymorph_mev_per_atom": 0,
  "mass_density_g_cm3": 10.30,
  "lattice": [[-1.885, 1.885, 7.223], [1.885, -1.885, 7.223], [1.885, 1.885, -7.223]],
  "species": ["P", "P", "Pb", "W", "W"],
  "frac_coords": [[0.133, 0.133, 0.000], [0.867, 0.867, 0.000], [0.500, 0.500, 0.000], [0.250, 0.750, 0.500], [0.750, 0.250, 0.500]]
}

***

No. 5
{
  "formula": "P5Pb2W",
  "functional": "GGA-PBE",
  "state": "relaxed",
  "mass_density_g_cm3": 7.58,
  "lattice": [[8.763, -2.798, 0.000], [8.763, 2.798, 0.000], [-0.372, 0.000, 6.726]],
  "species": ["P", "P", "P", "P", "P", "P", "P", "P", "P", "P", "Pb", "Pb", "Pb", "Pb", "W", "W"],
  "frac_coords": [[0.088, 0.687, 0.174], [0.204, 0.796, 0.000], [0.272, 0.272, 0.459], [0.313, 0.912, 0.826], [0.475, 0.475, 0.761], [0.525, 0.525, 0.239], [0.687, 0.088, 0.174], [0.728, 0.728, 0.541], [0.796, 0.204, 0.000], [0.912, 0.313, 0.826], [0.111, 0.111, 0.392], [0.277, 0.277, 0.866], [0.723, 0.723, 0.134], [0.889, 0.889, 0.608], [0.413, 0.413, 0.434], [0.587, 0.587, 0.566]]
}

***

No. 6
{
  "formula": "PPbW2",
  "functional": "GGA-PBE",
  "state": "relaxed",
  "e_above_lowest_polymorph_mev_per_atom": 252,
  "mass_density_g_cm3": 13.32,
  "lattice": [[1.761, 1.017, 7.027], [-1.761, 1.017, 7.027], [0.000, -2.034, 7.027]],
  "species": ["P", "Pb", "W", "W"],
  "frac_coords": [[0.000, 0.000, 0.000], [0.500, 0.500, 0.500], [0.278, 0.278, 0.278], [0.722, 0.722, 0.722]]
}

***

no.,ΔH_f (0 K) (eV/atom),calculated volume (Å³ per atom)
1,0.4144,17.15
2,1.0057,18.62
3,0.4958,20.08
4,0.1595,20.53
5,0.1603,20.62
6,0.5204,18.88